1.
# SCAN Sr2MgCr, single point on PBEsol structure
# total magnetization	19.4	Bohr magnetons per cell
# energy relative to the elements	0.270	eV per atom
data_Sr2MgCr
_cell_length_a 7.8528
_cell_length_b 7.8528
_cell_length_c 7.8528
_cell_angle_alpha 90.00
_cell_angle_beta 90.00
_cell_angle_gamma 90.00
_symmetry_space_group_name_H-M 'F -4 3 m'
_symmetry_Int_Tables_number 216
_symmetry_space_group_name_Hall 'F -4 2 3'
loop_
_atom_site_label
_atom_site_type_symbol
_atom_site_fract_x
_atom_site_fract_y
_atom_site_fract_z
Sr1 Sr 0.0000 0.0000 0.0000
Sr2 Sr 0.2500 0.2500 0.2500
Mg1 Mg 0.0000 0.0000 0.5000
Cr1 Cr 0.2500 0.2500 0.7500

---

2.
# SCAN Na2InC, single point on PBEsol structure
# total magnetization	0.0	Bohr magnetons per cell
# energy relative to the elements	1.181	eV per atom
data_Na2InC
_cell_length_a 3.8235
_cell_length_b 3.8235
_cell_length_c 20.0168
_cell_angle_alpha 90.00
_cell_angle_beta 90.00
_cell_angle_gamma 90.00
_symmetry_space_group_name_H-M 'I -4 2 d'
_symmetry_Int_Tables_number 122
_symmetry_space_group_name_Hall 'I -4 2bw'
loop_
_atom_site_label
_atom_site_type_symbol
_atom_site_fract_x
_atom_site_fract_y
_atom_site_fract_z
Na1 Na 0.2110 0.2500 0.1250
In1 In 0.0000 0.0000 0.5000
C1 C 0.0000 0.0000 0.0000

---

3.
# SCAN ScZn2SnMo, single point on PBEsol structure
# total magnetization	0.0	Bohr magnetons per cell
# energy relative to the elements	0.480	eV per atom
data_ScZn2SnMo
_cell_length_a 4.7656
_cell_length_b 4.7656
_cell_length_c 5.0150
_cell_angle_alpha 90.00
_cell_angle_beta 90.00
_cell_angle_gamma 90.00
_symmetry_space_group_name_H-M 'P 4/m m m'
_symmetry_Int_Tables_number 123
_symmetry_space_group_name_Hall '-P 4 2'
loop_
_atom_site_label
_atom_site_type_symbol
_atom_site_fract_x
_atom_site_fract_y
_atom_site_fract_z
Sc1 Sc 0.0000 0.0000 0.0000
Zn1 Zn 0.0000 0.5000 0.5000
Sn1 Sn 0.5000 0.5000 0.0000
Mo1 Mo 0.5000 0.5000 0.5000

---

4.
# SCAN K2CuSb, single point on PBEsol structure
# total magnetization	0.0	Bohr magnetons per cell
# formation energy (no corrections)	-0.3059	eV/atom
data_K2CuSb
_cell_length_a 4.6098
_cell_length_b 5.8835
_cell_length_c 9.6024
_cell_angle_alpha 90.00
_cell_angle_beta 90.00
_cell_angle_gamma 90.00
_symmetry_space_group_name_H-M 'I m m 2'
_symmetry_Int_Tables_number 44
_symmetry_space_group_name_Hall 'I 2 -2'
loop_
_atom_site_label
_atom_site_type_symbol
_atom_site_fract_x
_atom_site_fract_y
_atom_site_fract_z
K1 K 0.0000 0.0000 0.0000
K2 K 0.0000 0.5000 0.1845
Cu1 Cu 0.0000 0.0000 0.3735
Sb1 Sb 0.0000 0.5000 0.7907

---

5.
# SCAN Cd2PbO4, single point on PBEsol structure
# total magnetization	0.0	Bohr magnetons per cell
# formation energy (no corrections)	-1.1176	eV/atom
data_Cd2PbO4
_cell_length_a 5.6839
_cell_length_b 9.9824
_cell_length_c 3.3123
_cell_angle_alpha 90.00
_cell_angle_beta 90.00
_cell_angle_gamma 90.00
_symmetry_space_group_name_H-M 'P b a m'
_symmetry_Int_Tables_number 55
_symmetry_space_group_name_Hall '-P 2 2ab'
loop_
_atom_site_label
_atom_site_type_symbol
_atom_site_fract_x
_atom_site_fract_y
_atom_site_fract_z
Cd1 Cd 0.0641 0.1772 0.0000
Pb1 Pb 0.0000 0.5000 0.5000
O1 O 0.1389 0.7028 0.5000
O2 O 0.2493 0.4639 0.0000

---

6.
# SCAN YMgCd2, single point on PBEsol structure
# total magnetization	0.0	Bohr magnetons per cell
# energy relative to the elements	-0.226	eV per atom
data_YMgCd2
_cell_length_a 3.6310
_cell_length_b 5.1073
_cell_length_c 10.1674
_cell_angle_alpha 90.00
_cell_angle_beta 90.00
_cell_angle_gamma 90.00
_symmetry_space_group_name_H-M 'I m m 2'
_symmetry_Int_Tables_number 44
_symmetry_space_group_name_Hall 'I 2 -2'
loop_
_atom_site_label
_atom_site_type_symbol
_atom_site_fract_x
_atom_site_fract_y
_atom_site_fract_z
Y1 Y 0.0000 0.0000 0.0000
Mg1 Mg 0.0000 0.5000 0.2257
Cd1 Cd 0.0000 0.0000 0.4835
Cd2 Cd 0.0000 0.5000 0.7573

---

7.
# SCAN NaZn2Au2, single point on PBEsol structure
# offset from the most stable computed form	0.082	eV/atom
# total magnetization	0.0	Bohr magnetons per cell
# energy relative to the elements	-0.270	eV per atom
data_NaZn2Au2
_cell_length_a 4.4942
_cell_length_b 4.4942
_cell_length_c 9.6591
_cell_angle_alpha 90.00
_cell_angle_beta 90.00
_cell_angle_gamma 90.00
_symmetry_space_group_name_H-M 'I 4/m m m'
_symmetry_Int_Tables_number 139
_symmetry_space_group_name_Hall '-I 4 2'
loop_
_atom_site_label
_atom_site_type_symbol
_atom_site_fract_x
_atom_site_fract_y
_atom_site_fract_z
Na1 Na 0.0000 0.0000 0.0000
Zn1 Zn 0.0000 0.0000 0.3751
Au1 Au 0.0000 0.5000 0.2500

---

8.
# SCAN CrReTc2, single point on PBEsol structure
# total magnetization	0.0	Bohr magnetons per cell
# energy relative to the elements	0.120	eV per atom
data_CrReTc2
_cell_length_a 3.0136
_cell_length_b 4.2398
_cell_length_c 4.2559
_cell_angle_alpha 90.00
_cell_angle_beta 90.00
_cell_angle_gamma 90.00
_symmetry_space_group_name_H-M 'P m m m'
_symmetry_Int_Tables_number 47
_symmetry_space_group_name_Hall '-P 2 2'
loop_
_atom_site_label
_atom_site_type_symbol
_atom_site_fract_x
_atom_site_fract_y
_atom_site_fract_z
Cr1 Cr 0.0000 0.0000 0.0000
Re1 Re 0.5000 0.5000 0.0000
Tc1 Tc 0.0000 0.5000 0.5000
Tc2 Tc 0.5000 0.0000 0.5000